KCrWO6 | PBE+U | optimized geometry

Values from the calculation:
Symmetry: No. 1
Uncorrected energy: -6.76 eV/atom
Density: 4.419 Mg/m³

Cell and atoms, written as POSCAR:
```
KCrWO6
1.0
-3.844 -3.335 0.695
0.311 -3.849 3.622
-2.436 3.809 3.957
K Cr W O
1 1 1 6
direct
0.000 0.002 0.004 K
0.344 0.333 0.467 Cr
0.667 0.659 0.532 W
0.993 0.418 0.309 O
0.379 0.004 0.679 O
0.616 0.378 0.677 O
0.020 0.592 0.687 O
0.383 0.606 0.320 O
0.598 0.008 0.326 O
```